First-principles (GGA-PBE) data for an optimized crystal structure of Ca3SO, as listed in the Alexandria database.

Geometry as CIF:
```
data_Ca3SO
_space_group_name_H-M_alt 'P m -3 m'
_space_group_IT_number 221
_space_group_name_Hall '-P 4 2 3'
_cell_length_a 4.761
_cell_length_b 4.761
_cell_length_c 4.761
_cell_angle_alpha 90.00
_cell_angle_beta 90.00
_cell_angle_gamma 90.00
loop_
_atom_site_label
_atom_site_fract_x
_atom_site_fract_y
_atom_site_fract_z
Ca1 0.000 0.000 0.500
S1 0.500 0.500 0.500
O1 0.000 0.000 0.000
```

Energy above the lowest structure with this stoichiometry: 0.000 eV/atom
N(E_F): 0.853 states/eV per atom

=====

First-principles (GGA-PBE) data for an optimized crystal structure of Ca2SO, as listed in the Alexandria database.

Geometry as CIF:
```
data_Ca2SO
_space_group_name_H-M_alt 'R 3 m'
_space_group_IT_number 160
_space_group_name_Hall 'R 3 -2"'
_cell_length_a 3.6343
_cell_length_b 3.6343
_cell_length_c 19.5663
_cell_angle_alpha 90.00
_cell_angle_beta 90.00
_cell_angle_gamma 120.00
loop_
_atom_site_label
_atom_site_fract_x
_atom_site_fract_y
_atom_site_fract_z
Ca1 0.0000 0.0000 0.0000
Ca2 0.0000 0.0000 0.1507
S1 0.0000 0.0000 0.5754
O1 0.0000 0.0000 0.4061
```

Energy above the lowest structure with this stoichiometry: 0.169 eV/atom
N(E_F): 0.000 states/eV per atom

=====

First-principles (GGA-PBE) data for an optimized crystal structure of CaSO4, as listed in the Alexandria database.

Geometry as CIF:
```
data_CaSO4
_space_group_name_H-M_alt 'I 41/a m d'
_space_group_IT_number 141
_cell_length_a 7.109
_cell_length_b 7.109
_cell_length_c 6.102
_cell_angle_alpha 90.00
_cell_angle_beta 90.00
_cell_angle_gamma 90.00
loop_
_space_group_symop_operation_xyz
'x,y,z'
'-x,-y,-z'
'-y+1/4,x+3/4,z+1/4'
'y+1/4,-x+3/4,-z+1/4'
'-x+1/2,-y,z+1/2'
'x+1/2,y,-z+1/2'
'y+1/4,-x+1/4,z+3/4'
'-y+1/4,x+1/4,-z+3/4'
'x,-y,-z'
'-x,y,z'
'-y+1/4,-x+1/4,-z+3/4'
'y+1/4,x+1/4,z+3/4'
'-x+1/2,y,-z+1/2'
'x+1/2,-y,z+1/2'
'y+1/4,x+3/4,-z+1/4'
'-y+1/4,-x+3/4,z+1/4'
'x+1/2,y+1/2,z+1/2'
'-x+1/2,-y+1/2,-z+1/2'
'-y+3/4,x+1/4,z+3/4'
'y+3/4,-x+1/4,-z+3/4'
'-x,-y+1/2,z'
'x,y+1/2,-z'
'y+3/4,-x+3/4,z+1/4'
'-y+3/4,x+3/4,-z+1/4'
'x+1/2,-y+1/2,-z+1/2'
'-x+1/2,y+1/2,z+1/2'
'-y+3/4,-x+3/4,-z+1/4'
'y+3/4,x+3/4,z+1/4'
'-x,y+1/2,-z'
'x,-y+1/2,z'
'y+3/4,x+1/4,-z+3/4'
'-y+3/4,-x+1/4,z+3/4'
loop_
_atom_site_label
_atom_site_fract_x
_atom_site_fract_y
_atom_site_fract_z
Ca1 0.000 0.250 0.375
S1 0.000 0.250 0.875
O1 0.000 0.083 0.728
```

N(E_F): 0.000 states/eV per atom

=====

| no. | raw formation energy (meV per atom) | electronic total energy (eV/atom) |
| --- | --- | --- |
| 1 | -1448 | -4.4660 |
| 2 | -2260 | -5.5319 |
| 3 | -2180 | -6.5071 |